# La2Zr2O7

A PBEsol-optimized structure of La2Zr2O7 (meta-GGA SCAN, the Alexandria database).

The calculation puts the raw total energy at -233.65 eV per formula unit.

The structure belongs to space group Fd-3m (No. 227, origin choice 2); the cell edges are 10.737, 10.737 and 10.737 Å and the angles 90.00°, 90.00° and 90.00°. Symmetry generates all atoms from La at (0.000, 0.000, 0.000), Zr at (0.000, 0.000, 0.500), O at (0.083, 0.375, 0.875) and O at (0.125, 0.125, 0.125).